Record 1
# Ac2ScGa12Co3

A geometry-optimized Ac2ScGa12Co3 structure (GGA-PBE, the Alexandria database).

Cell: 8.042 8.042 8.042 Å, 66.11 66.11 66.11°
Positions (direct):
Sc: 0.000 0.000 0.000
Ga: 0.071 0.717 0.717
Ga: 0.717 0.071 0.717
Co: 0.500 0.000 0.000
Co: 0.000 0.000 0.500
Ga: 0.600 0.135 0.135
Ga: 0.400 0.865 0.865
Ga: 0.283 0.929 0.283
Ac: 0.404 0.404 0.404
Ga: 0.135 0.135 0.600
Ga: 0.865 0.400 0.865
Ga: 0.929 0.283 0.283
Ac: 0.596 0.596 0.596
Ga: 0.865 0.865 0.400
Co: 0.000 0.500 0.000
Ga: 0.717 0.717 0.071
Ga: 0.283 0.283 0.929
Ga: 0.135 0.600 0.135

## Properties
Volume ... 23.1 A^3/atom
Energy relative to the elements ... -45 meV per atom
Total energy ... -4.06 eV/atom

Record 2
# LaRe2Pt

A geometry-optimized LaRe2Pt structure (GGA-PBE, the Alexandria database).

Cell: 3.255 4.563 5.074 Å, 90.00 90.00 90.00°
Positions (direct):
Pt: 0.000 0.500 0.500
La: 0.500 0.000 0.500
Re: 0.500 0.500 0.000
Re: 0.000 0.000 0.000

## Properties
Energy above the lowest structure with this stoichiometry ... 409 meV per atom
Volume ... 18.8 A^3/atom
Energy relative to the elements ... 377 meV per atom
Total energy ... -8.59 eV/atom

Record 3
# DyTh5Os4

A geometry-optimized DyTh5Os4 structure (GGA-PBE, the Alexandria database).

Cell: 4.573 7.236 9.739 Å, 119.37 103.58 90.00°
Positions (direct):
Dy: 0.500 0.000 0.000
Th: 0.162 0.868 0.324
Th: 0.166 0.365 0.332
Th: 0.838 0.132 0.676
Os: 0.695 0.166 0.389
Os: 0.014 0.315 0.027
Th: 0.834 0.635 0.668
Os: 0.305 0.834 0.611
Th: 0.500 0.500 0.000
Os: 0.986 0.685 0.973

## Properties
Volume ... 27.0 A^3/atom
Energy relative to the elements ... -193 meV per atom
Total energy ... -8.85 eV/atom

Record 4
# Cd2AsP

A geometry-optimized Cd2AsP structure (GGA-PBE, the Alexandria database).

Cell: 4.388 4.388 6.937 Å, 73.41 73.41 46.96°
Positions (direct):
P: 0.572 0.572 0.504
Cd: 0.968 0.968 0.016
Cd: 0.787 0.787 0.719
As: 0.172 0.172 0.262

## Properties
Energy above the lowest structure with this stoichiometry ... 0 meV per atom
Volume ... 23.2 A^3/atom
Energy relative to the elements ... 78 meV per atom
Total energy ... -2.89 eV/atom

Record 5
# Na12H5I3

A geometry-optimized Na12H5I3 structure (GGA-PBE, the Alexandria database).

Cell: 14.014 14.014 14.014 Å, 109.47 109.47 109.47°
Positions (direct):
Na: 0.192 0.692 0.088
Na: 0.192 0.500 0.603
Na: 0.000 0.397 0.308
Na: 0.692 0.192 0.588
Na: 0.088 0.192 0.192
I: 0.125 0.875 0.750
H: 0.250 0.875 0.125
Na: 0.692 0.588 0.192
H: 0.750 0.625 0.375
Na: 0.397 0.396 0.088
I: 0.875 0.125 0.250
I: 0.250 0.625 0.875
Na: 0.308 0.500 0.396
Na: 0.897 0.588 0.896
Na: 0.104 0.912 0.103
H: 0.000 0.500 0.000
Na: 0.396 0.397 0.588
H: 0.500 0.500 0.500
Na: 0.692 0.103 0.000
H: 0.250 0.375 0.625
H: 0.125 0.750 0.375
Na: 0.692 0.500 0.604
H: 0.500 0.000 0.000
H: 0.875 0.625 0.750
H: 0.125 0.375 0.250
Na: 0.912 0.808 0.808
Na: 0.588 0.692 0.692
Na: 0.088 0.896 0.397
Na: 0.604 0.000 0.692
I: 0.375 0.625 0.250
Na: 0.000 0.396 0.808
H: 0.000 0.500 0.500
Na: 0.500 0.308 0.896
Na: 0.603 0.604 0.912
H: 0.375 0.250 0.125
Na: 0.308 0.808 0.412
Na: 0.808 0.500 0.397
Na: 0.000 0.604 0.192
Na: 0.603 0.000 0.192
H: 0.625 0.750 0.875
H: 0.000 0.000 0.000
H: 0.500 0.500 0.000
Na: 0.604 0.603 0.412
I: 0.750 0.375 0.125
Na: 0.500 0.692 0.104
Na: 0.500 0.192 0.103
Na: 0.588 0.897 0.396
I: 0.875 0.750 0.125
Na: 0.412 0.103 0.604
H: 0.750 0.125 0.875
I: 0.625 0.250 0.375
Na: 0.912 0.104 0.603
Na: 0.308 0.412 0.808
Na: 0.500 0.808 0.897
Na: 0.396 0.000 0.308
Na: 0.808 0.896 0.000
H: 0.625 0.875 0.250
I: 0.750 0.875 0.625
I: 0.125 0.250 0.875
H: 0.500 0.000 0.500
Na: 0.808 0.912 0.308
Na: 0.808 0.308 0.912
I: 0.625 0.375 0.750
Na: 0.103 0.412 0.104
Na: 0.897 0.308 0.500
H: 0.875 0.250 0.625
Na: 0.103 0.692 0.500
Na: 0.896 0.088 0.897
Na: 0.896 0.808 0.500
H: 0.000 0.000 0.500
Na: 0.192 0.104 0.000
H: 0.375 0.125 0.750
Na: 0.397 0.000 0.808
Na: 0.412 0.308 0.308
Na: 0.192 0.088 0.692
Na: 0.104 0.192 0.500
Na: 0.000 0.603 0.692
I: 0.250 0.125 0.375
I: 0.375 0.750 0.625
Na: 0.308 0.897 0.000

## Properties
Volume ... 26.5 A^3/atom
Total energy ... -2.15 eV/atom

Record 6
# YZnTe2

A geometry-optimized YZnTe2 structure (GGA-PBE, the Alexandria database).

Cell: 5.330 5.330 5.330 Å, 60.00 60.00 60.00°
Positions (direct):
Te: 0.750 0.750 0.750
Te: 0.000 0.000 0.000
Y: 0.500 0.500 0.500
Zn: 0.250 0.250 0.250

## Properties
E_form (uncorrected) ... -1.17 eV per formula unit
Energy above the lowest structure with this stoichiometry ... 633 meV per atom
Volume ... 26.8 A^3/atom
Total energy ... -3.80 eV/atom

Record 7
# LaSmSb

A geometry-optimized LaSmSb structure (GGA-PBE, the Alexandria database).

Cell: 4.251 5.184 5.184 Å, 120.00 90.00 90.00°
Positions (direct):
Sm: 0.109 0.000 0.000
Sb: 0.262 0.333 0.667
La: 0.629 0.667 0.333

## Properties
E_form (uncorrected) ... -1.53 eV per formula unit
Volume ... 33.0 A^3/atom
Total energy ... -5.10 eV/atom

Record 8
# CsLi2Pb

A geometry-optimized CsLi2Pb structure (GGA-PBE, the Alexandria database).

Cell: 3.929 3.929 8.702 Å, 90.00 90.00 90.00°
Positions (direct):
Li: 0.000 0.000 0.846
Cs: 0.500 0.500 0.500
Li: 0.000 0.000 0.154
Pb: 0.500 0.500 0.000

## Properties
Volume ... 33.6 A^3/atom
Energy relative to the elements ... -29 meV per atom
Total energy ... -2.13 eV/atom